Below is a geometry-optimized CoNi2O3 structure, with properties calculated at the PBE with a Hubbard U level.

```
CoNi2O3
1.0
3.017 0.000 0.000
0.000 4.241 0.000
0.000 0.000 9.022
Co Ni O
2 4 6
direct
0.000 0.000 0.000
0.500 0.500 0.500
0.000 0.000 0.333
0.000 0.000 0.667
0.500 0.500 0.167
0.500 0.500 0.833
0.000 0.500 0.000
0.000 0.500 0.330
0.000 0.500 0.670
0.500 0.000 0.170
0.500 0.000 0.500
0.500 0.000 0.830
```

Summary:
* Fermi-level density of states: 0.0 states/eV per cell
* energy relative to the lowest polymorph listed for this composition: 0.000 eV/atom
* space group: Immm, No. 71